ZnFe: optimized geometry, PBEsol.

Structure (CIF):
```
data_ZnFe
_chemical_formula_sum 'Zn2 Fe2'
_cell_length_a 4.4245
_cell_length_b 4.4245
_cell_length_c 4.4245
_cell_angle_alpha 131.32
_cell_angle_beta 131.32
_cell_angle_gamma 71.30
_space_group_name_H-M_alt 'P 1'
_space_group_IT_number 1
loop_
_space_group_symop_operation_xyz
'x,y,z'
loop_
_atom_site_label
_atom_site_fract_x
_atom_site_fract_y
_atom_site_fract_z
_atom_site_occupancy
Zn1 0.3750 0.6250 0.7500 1
Zn2 0.6250 0.3750 0.2500 1
Fe1 0.1250 0.8750 0.2500 1
Fe2 0.8750 0.1250 0.7500 1
```



ZnFe: optimized geometry, PBEsol.

Structure (CIF):
```
data_ZnFe
_chemical_formula_sum 'Zn2 Fe2'
_cell_length_a 2.5268
_cell_length_b 2.5268
_cell_length_c 7.6662
_cell_angle_alpha 90.00
_cell_angle_beta 90.00
_cell_angle_gamma 90.00
_space_group_name_H-M_alt 'P 1'
_space_group_IT_number 1
loop_
_space_group_symop_operation_xyz
'x,y,z'
loop_
_atom_site_label
_atom_site_fract_x
_atom_site_fract_y
_atom_site_fract_z
_atom_site_occupancy
Zn1 0.2500 0.2500 0.1350 1
Zn2 0.7500 0.7500 0.8650 1
Fe1 0.2500 0.2500 0.6215 1
Fe2 0.7500 0.7500 0.3785 1
```



| no. | DFT total energy (eV per atom) |
| --- | --- |
| 1 | -5.213 |
| 2 | -5.201 |